# 1
DFT (PBE) results for a relaxed structure of Pu2Zn2GaRh5.

Computed properties:
- crystal system = tetragonal
- ΔH_f (0 K) (kJ/mol of formula units) = -414
- total moment (μB/f.u.) = 9.19
- space group = No. 127

a b c (Å): 3.5776 9.6759 9.6759
angles (deg): 90.00 90.00 90.00
Closest atoms and distances in Å follow each position.
Element x y z (fractional)
1 Pu 0.0000 0.3272 0.8272  3 Zn 2.75-2.93, 2 Rh 2.96
2 Pu 0.0000 0.8272 0.6728  3 Zn 2.75-2.93, 2 Rh 2.96
3 Pu 0.0000 0.1728 0.3272  3 Zn 2.75-2.93, 2 Rh 2.96
4 Pu 0.0000 0.6728 0.1728  3 Zn 2.75-2.93, 2 Rh 2.96
5 Rh 0.5000 0.1966 0.0687  2 Zn 2.54, 2 Ga 2.69
6 Rh 0.5000 0.0000 0.5000  4 Zn 2.49
7 Rh 0.5000 0.6966 0.4313  2 Zn 2.54, 2 Ga 2.69
8 Rh 0.5000 0.5687 0.6966  2 Zn 2.54, 2 Ga 2.69
9 Rh 0.5000 0.5000 0.0000  4 Zn 2.49
10 Rh 0.5000 0.0687 0.8034  2 Zn 2.54, 2 Ga 2.69
11 Rh 0.5000 0.9313 0.1966  2 Zn 2.54, 2 Ga 2.69
12 Rh 0.5000 0.4313 0.3034  2 Zn 2.54, 2 Ga 2.69
13 Rh 0.5000 0.3034 0.5687  2 Zn 2.54, 2 Ga 2.69
14 Rh 0.5000 0.8034 0.9313  2 Zn 2.54, 2 Ga 2.69
15 Zn 0.0000 0.1263 0.6263  6 Rh 2.49-2.54, 1 Pu 2.75
16 Zn 0.0000 0.8737 0.3737  6 Rh 2.49-2.54, 1 Pu 2.75
17 Zn 0.0000 0.3737 0.1263  6 Rh 2.49-2.54, 1 Pu 2.75
18 Zn 0.0000 0.6263 0.8737  6 Rh 2.49-2.54, 1 Pu 2.75
19 Ga 0.0000 0.0000 0.0000  8 Rh 2.69
20 Ga 0.0000 0.5000 0.5000  8 Rh 2.69

---

# 2
DFT (PBE) results for a relaxed structure of Pu2Ga8Ru.

Computed properties:
- crystal system = tetragonal
- ΔH_f (0 K) (kJ/mol of formula units) = -416
- total moment (μB/f.u.) = 10.57
- space group = No. 123

a b c (Å): 4.3114 4.3114 11.1921
angles (deg): 90.00 90.00 90.00
Closest atoms and distances in Å follow each position.
Element x y z (fractional)
1 Ga 0.0000 0.5000 0.8772  2 Ru 2.56, 1 Ga 2.75
2 Ga 0.5000 0.0000 0.8772  2 Ru 2.56, 1 Ga 2.75
3 Ga 0.5000 0.5000 0.3075  8 Ga 2.99-3.05, 4 Pu 3.05
4 Ga 0.5000 0.0000 0.5000  4 Pu 3.04, 8 Ga 3.05
5 Ga 0.5000 0.0000 0.1228  2 Ru 2.56, 1 Ga 2.75
6 Ga 0.5000 0.5000 0.6925  8 Ga 2.99-3.05, 4 Pu 3.05
7 Ga 0.0000 0.5000 0.1228  2 Ru 2.56, 1 Ga 2.75
8 Ga 0.0000 0.5000 0.5000  4 Pu 3.04, 8 Ga 3.05
9 Ru 0.0000 0.0000 0.0000  8 Ga 2.56
10 Pu 0.0000 0.0000 0.6914  12 Ga 2.99-3.05
11 Pu 0.0000 0.0000 0.3086  12 Ga 2.99-3.05

---

# 3
DFT (PBE) results for a relaxed structure of Pu2Ga3Ru3.

Computed properties:
- crystal system = orthorhombic
- ΔH_f (0 K) (kJ/mol of formula units) = -188
- total moment (μB/f.u.) = 9.85
- space group = No. 38

a b c (Å): 3.0493 7.1852 7.1852
angles (deg): 119.87 90.00 90.00
Closest atoms and distances in Å follow each position.
Element x y z (fractional)
1 Ru 0.0000 0.0293 0.6581  2 Pu 2.59-2.73, 6 Ga 2.66-2.77
2 Ru 0.0000 0.6581 0.0293  2 Pu 2.59-2.73, 6 Ga 2.66-2.77
3 Ru 0.0000 0.1568 0.1568  6 Ga 2.65, 2 Pu 2.89
4 Ga 0.5000 0.9719 0.3203  6 Ru 2.65-2.72
5 Ga 0.5000 0.8550 0.8550  6 Ru 2.65-2.77
6 Ga 0.5000 0.3203 0.9719  6 Ru 2.65-2.72
7 Pu 0.0000 0.6202 0.3884  3 Ru 2.59-2.89, 1 Pu 2.88
8 Pu 0.0000 0.3884 0.6202  3 Ru 2.59-2.89, 1 Pu 2.88

---

# 4
DFT (PBE) results for a relaxed structure of Pu2GaRu4.

Computed properties:
- crystal system = monoclinic
- ΔH_f (0 K) (kJ/mol of formula units) = -104
- total moment (μB/f.u.) = 7.95
- space group = No. 15

a b c (Å): 10.7404 5.5815 5.6585
angles (deg): 119.55 119.49 90.00
Closest atoms and distances in Å follow each position.
Element x y z (fractional)
1 Ru 0.7500 0.5085 0.5000  6 Ru 2.70-2.88, 2 Pu 2.72, 2 Ga 2.76
2 Ru 0.7711 0.0128 0.0237  1 Pu 2.40, 1 Ga 2.53
3 Ru 0.2289 0.9872 0.9763  1 Pu 2.40, 1 Ga 2.53
4 Ru 0.2500 0.4915 0.5000  6 Ru 2.70-2.88, 2 Pu 2.72, 2 Ga 2.76
5 Ru 0.7500 0.9930 0.5000  6 Ru 2.70-2.88, 2 Pu 2.71, 2 Ga 2.76
6 Ru 0.2711 0.5108 0.0237  1 Pu 2.40, 1 Ga 2.53
7 Ru 0.2500 0.0070 0.5000  6 Ru 2.70-2.88, 2 Pu 2.71, 2 Ga 2.76
8 Ru 0.7289 0.4892 0.9763  1 Pu 2.40, 1 Ga 2.53
9 Ga 0.0000 0.0000 0.0000  6 Ru 2.53-2.76
10 Ga 0.5000 0.5000 0.0000  6 Ru 2.53-2.76
11 Pu 0.0001 0.3404 0.6806  1 Ru 2.40
12 Pu 0.4999 0.1598 0.3194  1 Ru 2.40
13 Pu 0.5001 0.8402 0.6806  1 Ru 2.40
14 Pu 0.9999 0.6596 0.3194  1 Ru 2.40

---

# 5
DFT (PBE) results for a relaxed structure of Pu2Ga2Ru3.

Computed properties:
- crystal system = monoclinic
- ΔH_f (0 K) (kJ/mol of formula units) = -192
- total moment (μB/f.u.) = 8.38
- space group = No. 12

a b c (Å): 4.6019 5.1899 6.8041
angles (deg): 114.71 90.00 116.32
Closest atoms and distances in Å follow each position.
Element x y z (fractional)
1 Pu 0.3336 0.6671 0.2165  2 Ru 2.52-2.75
2 Pu 0.6664 0.3329 0.7835  2 Ru 2.52-2.75
3 Ru 0.6075 0.2150 0.2268  1 Pu 2.52, 3 Ga 2.60-2.67, 3 Ru 2.69-2.79
4 Ru 0.3925 0.7850 0.7732  1 Pu 2.52, 3 Ga 2.60-2.67, 3 Ru 2.69-2.79
5 Ru 0.0000 0.0000 0.0000  2 Ga 2.59, 4 Ru 2.69, 2 Pu 2.75
6 Ga 0.8927 0.7854 0.5740  4 Ru 2.59-2.67, 1 Ga 2.62
7 Ga 0.1073 0.2146 0.4260  4 Ru 2.59-2.67, 1 Ga 2.62

---

# 6
DFT (PBE) results for a relaxed structure of PuGa2Ru2.

Computed properties:
- crystal system = monoclinic
- ΔH_f (0 K) (kJ/mol of formula units) = -154
- total moment (μB/f.u.) = 4.19
- space group = No. 11

a b c (Å): 4.2843 4.7654 9.2124
angles (deg): 70.21 90.00 90.00
Closest atoms and distances in Å follow each position.
Element x y z (fractional)
1 Ru 0.7500 0.7837 0.1071  5 Ga 2.49-2.58, 2 Pu 2.79
2 Ru 0.2500 0.2370 0.5226  4 Ga 2.59-2.65, 2 Pu 2.77
3 Ru 0.7500 0.7630 0.4774  4 Ga 2.59-2.65, 2 Pu 2.77
4 Ru 0.2500 0.2163 0.8929  5 Ga 2.49-2.58, 2 Pu 2.79
5 Pu 0.7500 0.1088 0.7256  4 Ru 2.77-2.79
6 Pu 0.2500 0.8912 0.2744  4 Ru 2.77-2.79
7 Ga 0.2500 0.6620 0.6474  5 Ru 2.52-2.65
8 Ga 0.7500 0.3383 0.0159  4 Ru 2.49-2.58, 2 Ga 2.60
9 Ga 0.2500 0.6617 0.9841  4 Ru 2.49-2.58, 2 Ga 2.60
10 Ga 0.7500 0.3380 0.3526  5 Ru 2.52-2.65

---

# 7
DFT (PBE) results for a relaxed structure of Pu2GaRu3.

Computed properties:
- crystal system = orthorhombic
- ΔH_f (0 K) (kJ/mol of formula units) = 5
- total moment (μB/f.u.) = 7.81
- space group = No. 71
- offset from the most stable computed form (kJ per mole of atoms) = 26.6

a b c (Å): 4.4367 5.2703 5.8697
angles (deg): 116.68 112.21 90.00
Closest atoms and distances in Å follow each position.
Element x y z (fractional)
1 Pu 0.6816 0.1816 0.3632  6 Ru 2.66-2.81
2 Pu 0.3184 0.8184 0.6368  6 Ru 2.66-2.81
3 Ga 0.0000 0.5000 0.0000  6 Ru 2.60-2.64
4 Ru 0.0000 0.0000 0.0000  2 Ga 2.64, 4 Pu 2.81
5 Ru 0.3564 0.3564 0.7129  2 Ga 2.60, 4 Pu 2.66-2.77, 1 Ru 2.73
6 Ru 0.6436 0.6436 0.2871  2 Ga 2.60, 4 Pu 2.66-2.77, 1 Ru 2.73

---

# 8
DFT (PBE) results for a relaxed structure of Pu4GaRu4.

Computed properties:
- crystal system = tetragonal
- ΔH_f (0 K) (kJ/mol of formula units) = 48
- total moment (μB/f.u.) = 3.21
- space group = No. 87

a b c (Å): 4.8072 6.1436 6.1436
angles (deg): 81.20 66.97 66.97
Closest atoms and distances in Å follow each position.
Element x y z (fractional)
1 Ru 0.6621 0.2993 0.3766  1 Pu 2.37
2 Ru 0.9613 0.3766 0.7007  1 Pu 2.37
3 Ru 0.0387 0.6234 0.2993  1 Pu 2.37
4 Ru 0.3379 0.7007 0.6234  1 Pu 2.37
5 Pu 0.6663 0.6988 0.9687  1 Ru 2.37, 2 Pu 2.42
6 Pu 0.6350 0.0313 0.6988  1 Ru 2.37, 2 Pu 2.42
7 Pu 0.3337 0.3012 0.0313  1 Ru 2.37, 2 Pu 2.42
8 Pu 0.3650 0.9687 0.3012  1 Ru 2.37, 2 Pu 2.42
9 Ga 0.0000 0.0000 0.0000  4 Ru 2.72, 8 Pu 2.95

---

# 9
DFT (PBE) results for a relaxed structure of Pu3GaRu2.

Computed properties:
- crystal system = orthorhombic
- ΔH_f (0 K) (kJ/mol of formula units) = -109
- total moment (μB/f.u.) = 14.53
- space group = No. 71
- offset from the most stable computed form (kJ per mole of atoms) = 0.0

a b c (Å): 4.3075 4.1714 7.5273
angles (deg): 106.07 106.62 90.00
Closest atoms and distances in Å follow each position.
Element x y z (fractional)
1 Ru 0.3671 0.8668 0.7342  3 Pu 2.61-2.78, 2 Ga 2.83
2 Ru 0.6329 0.1332 0.2658  3 Pu 2.61-2.78, 2 Ga 2.83
3 Pu 0.8222 0.3221 0.6443  1 Ru 2.61
4 Pu 0.1778 0.6779 0.3557  1 Ru 2.61
5 Pu 0.5000 0.5000 0.0000  4 Ru 2.78, 4 Ga 3.00
6 Ga 0.0000 0.0000 0.0000  4 Ru 2.83, 4 Pu 3.00

---

# 10
DFT (PBE) results for a relaxed structure of Pu2Ga6Ru.

Computed properties:
- crystal system = cubic
- ΔH_f (0 K) (kJ/mol of formula units) = -359
- total moment (μB/f.u.) = 10.69
- space group = No. 225
- offset from the most stable computed form (kJ per mole of atoms) = 0.0

a b c (Å): 6.2218 6.2218 6.2206
angles (deg): 59.98 59.98 59.99
Closest atoms and distances in Å follow each position.
Element x y z (fractional)
1 Ga 0.7818 0.2180 0.2182  1 Ru 2.48, 4 Ga 2.71
2 Ga 0.2180 0.7818 0.2182  1 Ru 2.48, 4 Ga 2.71
3 Ga 0.7818 0.7818 0.2184  1 Ru 2.48, 4 Ga 2.71
4 Ga 0.2182 0.2182 0.7816  1 Ru 2.48, 4 Ga 2.71
5 Ga 0.7820 0.2182 0.7818  1 Ru 2.48, 4 Ga 2.71
6 Ga 0.2182 0.7820 0.7818  1 Ru 2.48, 4 Ga 2.71
7 Ru 0.5000 0.5000 0.5000  6 Ga 2.48
8 Pu 0.7500 0.7500 0.7502  12 Ga 3.12
9 Pu 0.2500 0.2500 0.2498  12 Ga 3.12